# 1
A relaxed LaRe2Mo crystal. Source: the Alexandria database, functional GGA-PBEsol.

Cell: 2.8091 2.8091 9.5565 Å, 90.00 90.00 112.48°
Last column: nearest neighbours and their distance in Å.
Fractional positions:
Mo  0.5000  0.5000  0.2174  2 Re 2.60, 4 Mo 2.81
La  0.0000  0.0000  0.5032  6 La 2.81-3.12, 2 Re 3.07, 2 Mo 3.15
Re  0.5000  0.5000  0.7800  6 Re 2.61-2.81
Re  0.0000  0.0000  0.9994  2 Mo 2.60, 6 Re 2.61-2.81

Computed properties:
Energy relative to the elements ... 12.01 kcal/mol of atoms
VASP energy ... -10.424 eV/atom
Energy above the most stable polymorph in this dataset ... 0.148 eV per atom
Mass density ... 14472 kg/m³

***

# 2
A relaxed CdSbTe2 crystal. Source: the Alexandria database, functional GGA-PBEsol.

Cell: 3.6272 5.3331 5.3533 Å, 90.00 90.00 90.00°
Last column: nearest neighbours and their distance in Å.
Fractional positions:
Te  0.5000  0.5000  0.0000  4 Te 3.22, 4 Sb 3.23
Sb  0.0000  0.5000  0.5000  4 Cd 3.22, 4 Te 3.23
Te  0.0000  0.0000  0.0000  4 Te 3.22, 4 Cd 3.23
Cd  0.5000  0.0000  0.5000  4 Sb 3.22, 4 Te 3.23

Computed properties:
E_form (uncorrected) ... 163 meV per atom
VASP energy ... -3.038 eV/atom
Mass density ... 7847 kg/m³

***

# 3
A relaxed YTe2 crystal. Source: the Alexandria database, functional GGA-PBEsol.

Cell: 4.3240 5.9104 7.9761 Å, 90.00 105.73 90.00°
Last column: nearest neighbours and their distance in Å.
Fractional positions:
Y  0.6721  0.2500  0.3442  6 Te 2.96-3.11
Te  0.3144  0.2500  0.6287  4 Y 2.96-3.07
Te  0.6856  0.7500  0.3713  4 Y 2.96-3.07
Te  0.9739  0.7500  0.9478  2 Te 3.06, 2 Y 3.11
Te  0.0261  0.2500  0.0522  2 Te 3.06, 2 Y 3.11
Y  0.3279  0.7500  0.6558  6 Te 2.96-3.11

Computed properties:
E_form (uncorrected) ... -1103 meV per atom
VASP energy ... -5.728 eV/atom
Mass density ... 5824 kg/m³

***

# 4
A relaxed InCuBiF2 crystal. Source: the Alexandria database, functional GGA-PBEsol.

Cell: 4.1425 4.1425 5.2907 Å, 90.00 90.00 90.00°
Last column: nearest neighbours and their distance in Å.
Fractional positions:
F  0.5000  0.0000  0.0000  2 Cu 2.07
In  0.0000  0.0000  0.5000  2 Cu 2.65, 4 Bi 2.93
Cu  0.0000  0.0000  0.0000  4 F 2.07
F  0.0000  0.5000  0.0000  2 Cu 2.07
Bi  0.5000  0.5000  0.5000  4 In 2.93

Computed properties:
E_form (uncorrected) ... -692 meV per atom
VASP energy ... -3.784 eV/atom
Mass density ... 7779 kg/m³

***

# 5
A relaxed ZrAg2Sb crystal. Source: the Alexandria database, functional GGA-PBEsol.

Cell: 4.5639 4.1110 4.1110 Å, 90.00 90.00 90.00°
Last column: nearest neighbours and their distance in Å.
Fractional positions:
Zr  0.5000  0.5000  0.5000  4 Sb 2.91, 8 Ag 3.07
Sb  0.5000  0.0000  0.0000  4 Zr 2.91, 8 Ag 3.07
Ag  0.0000  0.5000  0.0000  4 Ag 2.91, 4 Zr 3.07, 4 Sb 3.07
Ag  0.0000  0.0000  0.5000  4 Ag 2.91, 4 Sb 3.07, 4 Zr 3.07

Computed properties:
E_form (uncorrected) ... -273 meV per atom
VASP energy ... -5.340 eV/atom
Mass density ... 9230 kg/m³

***

# 6
A relaxed La3AsPb crystal. Source: the Alexandria database, functional GGA-PBEsol.

Cell: 5.9137 5.9137 5.9137 Å, 90.00 90.00 90.00°
Last column: nearest neighbours and their distance in Å.
Fractional positions:
La  0.5000  0.0000  0.0000  2 Pb 2.96
As  0.5000  0.5000  0.5000  12 La 4.18
La  0.0000  0.0000  0.5000  2 Pb 2.96
La  0.0000  0.5000  0.0000  2 Pb 2.96
Pb  0.0000  0.0000  0.0000  6 La 2.96

Computed properties:
Energy relative to the elements ... 5.92 kcal/mol of atoms
VASP energy ... -4.772 eV/atom
Mass density ... 5611 kg/m³

***

# 7
A relaxed LiP3N crystal. Source: the Alexandria database, functional GGA-PBEsol.

Cell: 4.0539 4.0539 4.0539 Å, 90.00 90.00 90.00°
Last column: nearest neighbours and their distance in Å.
Fractional positions:
P  0.5000  0.0000  0.0000  2 N 2.03
N  0.0000  0.0000  0.0000  6 P 2.03
P  0.0000  0.0000  0.5000  2 N 2.03
P  0.0000  0.5000  0.0000  2 N 2.03
Li  0.5000  0.5000  0.5000  12 P 2.87

Computed properties:
E_form (uncorrected) ... 594 meV per atom
VASP energy ... -4.979 eV/atom
Mass density ... 2838 kg/m³

***

# 8
A relaxed RuRh2W crystal. Source: the Alexandria database, functional GGA-PBEsol.

Cell: 2.7176 4.6438 4.6710 Å, 109.02 90.00 90.00°
Last column: nearest neighbours and their distance in Å.
Fractional positions:
Rh  0.0000  0.0000  0.0000  6 Rh 2.69-2.72, 4 Ru 2.70, 2 W 2.70
Ru  0.5000  0.0000  0.5000  4 W 2.69, 6 Rh 2.70, 2 Ru 2.72
W  0.0000  0.5000  0.5000  4 Ru 2.69, 6 Rh 2.70, 2 W 2.72
Rh  0.5000  0.5000  0.0000  6 Rh 2.69-2.72, 4 W 2.70, 2 Ru 2.70

Computed properties:
Energy relative to the elements ... -1.45 kcal/mol of atoms
VASP energy ... -10.127 eV/atom
Energy above the most stable polymorph in this dataset ... 0.133 eV per atom
Mass density ... 14622 kg/m³

***

# 9
A relaxed TiBe2Si crystal. Source: the Alexandria database, functional GGA-PBEsol.

Cell: 3.4887 3.4887 8.8486 Å, 101.37 101.37 90.00°
Last column: nearest neighbours and their distance in Å.
Fractional positions:
Si  0.5000  0.5000  0.0000  4 Be 2.45, 4 Ti 2.47
Be  0.1250  0.1270  0.7500  2 Si 2.45, 4 Be 2.46-2.48, 2 Ti 2.46
Ti  0.0000  0.0000  0.0000  4 Be 2.46, 4 Si 2.47
Ti  0.2500  0.7500  0.5000  4 Be 2.46, 4 Si 2.47
Be  0.6250  0.6230  0.7500  2 Si 2.45, 4 Be 2.46-2.48, 2 Ti 2.46
Be  0.3770  0.8750  0.2500  2 Si 2.45, 4 Be 2.46-2.48, 2 Ti 2.46
Si  0.7500  0.2500  0.5000  4 Be 2.45, 4 Ti 2.47
Be  0.8730  0.3750  0.2500  2 Si 2.45, 4 Be 2.46-2.48, 2 Ti 2.46

Computed properties:
E_form (uncorrected) ... 243 meV per atom
VASP energy ... -5.274 eV/atom
Mass density ... 3018 kg/m³

***

# 10
A relaxed SrZn2Co crystal. Source: the Alexandria database, functional GGA-PBEsol.

Cell: 3.1861 3.1861 6.9560 Å, 90.00 90.00 90.00°
Last column: nearest neighbours and their distance in Å.
Fractional positions:
Zn  0.0000  0.0000  0.8256  1 Zn 2.43, 4 Co 2.56
Sr  0.5000  0.5000  0.5000  4 Sr 3.19, 8 Zn 3.19, 2 Co 3.48
Zn  0.0000  0.0000  0.1744  1 Zn 2.43, 4 Co 2.56
Co  0.5000  0.5000  0.0000  8 Zn 2.56

Computed properties:
Energy relative to the elements ... 2.95 kcal/mol of atoms
VASP energy ... -3.057 eV/atom
Mass density ... 6523 kg/m³

***

# 11
A relaxed VMoW crystal. Source: the Alexandria database, functional GGA-PBEsol.

Cell: 3.0780 3.0780 5.0980 Å, 107.57 107.57 90.00°
Last column: nearest neighbours and their distance in Å.
Fractional positions:
V  0.2242  0.2242  0.4483  4 Mo 2.65, 4 W 2.66
W  0.8902  0.8902  0.7804  4 V 2.66, 4 Mo 2.68
Mo  0.5606  0.5606  0.1212  4 V 2.65, 4 W 2.68

Computed properties:
Energy relative to the elements ... -2.60 kcal/mol of atoms
VASP energy ... -11.849 eV/atom
Mass density ... 12574 kg/m³

***

# 12
A relaxed TcW8 crystal. Source: the Alexandria database, functional GGA-PBEsol.

Cell: 3.1433 6.8493 6.8493 Å, 86.98 76.73 76.73°
Last column: nearest neighbours and their distance in Å.
Fractional positions:
Tc  0.0000  0.0000  0.0000  8 W 2.72
W  0.0000  0.6678  0.3322  8 W 2.72-2.73
W  0.3336  0.0000  0.3328  6 W 2.72-2.73, 2 Tc 2.72
W  0.0000  0.3322  0.6678  8 W 2.72-2.73
W  0.3336  0.3328  0.0000  6 W 2.72-2.73, 2 Tc 2.72
W  0.3322  0.6678  0.6678  8 W 2.72-2.73
W  0.6664  0.0000  0.6672  6 W 2.72-2.73, 2 Tc 2.72
W  0.6664  0.6672  0.0000  6 W 2.72-2.73, 2 Tc 2.72
W  0.6678  0.3322  0.3322  8 W 2.72-2.73

Computed properties:
Energy relative to the elements ... 0.70 kcal/mol of atoms
VASP energy ... -13.495 eV/atom
Mass density ... 18647 kg/m³

***

# 13
A relaxed SnSCl2 crystal. Source: the Alexandria database, functional GGA-PBEsol.

Cell: 3.2273 3.2273 9.6137 Å, 80.34 80.34 60.00°
Last column: nearest neighbours and their distance in Å.
Fractional positions:
Cl  0.0888  0.0888  0.7336  1 Sn 2.51
Cl  0.9112  0.9112  0.2664  1 Sn 2.51
S  0.5000  0.5000  0.5000  6 Cl 2.89, 6 S 3.23
Sn  0.0000  0.0000  0.0000  2 Cl 2.51

Computed properties:
E_form (uncorrected) ... 274 meV per atom
VASP energy ... -2.891 eV/atom
Energy above the most stable polymorph in this dataset ... 0.500 eV per atom
Mass density ... 4327 kg/m³